Material: Tl2NiAu
Method: DFT, PBE
State: optimized geometry

Structure (extended XYZ):
```
4
Lattice="3.388 0.000 0.000 0.000 3.211 0.000 -1.515 0.000 7.605" Properties=species:S:1:pos:R:3 pbc="T T T"
Tl -0.256 0.000 1.661
Tl 2.129 0.000 5.944
Ni 1.694 1.606 0.000
Au 0.936 1.606 3.802
```

Results
Offset from the most stable computed form: 0.127 eV/atom
Space group: P2/m, No. 10
Fermi-level density of states: 1.94 states/eV/cell

---

Material: TlNi2Au
Method: DFT, PBE
State: optimized geometry

Structure (extended XYZ):
```
8
Lattice="3.858 0.000 0.000 0.000 3.945 0.000 0.000 0.000 8.205" Properties=species:S:1:pos:R:3 pbc="T T T"
Tl 0.000 0.000 0.000
Tl 1.929 1.972 4.102
Ni 0.000 0.000 4.055
Ni 0.000 1.972 6.168
Ni 1.929 0.000 2.065
Ni 1.929 1.972 8.157
Au 0.000 1.972 2.028
Au 1.929 0.000 6.130
```

Results
Space group: Imm2, No. 44
Fermi-level density of states: 5.21 states/eV/cell

---

Material: Tl2NiAu
Method: DFT, PBE
State: optimized geometry

Structure (extended XYZ):
```
8
Lattice="12.924 0.000 0.000 0.000 3.115 0.000 -1.542 0.000 4.200" Properties=species:S:1:pos:R:3 pbc="T T T"
Tl 0.000 0.000 0.000
Tl 1.615 0.000 2.978
Tl 6.462 1.557 0.000
Tl 8.077 1.557 2.978
Ni -0.644 1.557 2.148
Ni 5.818 0.000 2.148
Au 3.731 1.557 1.374
Au 10.193 0.000 1.374
```

Results
Offset from the most stable computed form: 0.015 eV/atom
Space group: Cm, No. 8
Fermi-level density of states: 2.72 states/eV/cell

---

Final energy
In order: -3.186, -4.073, -3.298
Unit: eV/atom
DFT formation energy
In order: 262, 229, 150
Unit: meV per atom